KTmCo2F8: relaxed, GGA+U.

Geometry as POSCAR:
```
KTmCo2F8
1.0
5.1782 0.0000 0.0000
0.8430 5.1266 0.0000
0.9698 0.8455 7.3149
K Tm Co F
1 1 2 8
Cartesian
0.0000 0.0000 0.0000
0.4849 0.4227 3.6575
2.9404 2.5061 1.6105
4.0505 3.4660 5.7044
2.4046 4.5263 5.2318
2.1287 4.2834 2.0973
2.0979 1.7631 3.2595
3.0353 2.5691 7.3065
3.9557 3.4030 0.0084
4.8931 4.2090 4.0554
4.8623 1.6887 5.2176
4.5864 1.4458 2.0831
```

Output
Uncorrected energy in eV/atom: -5.441
Size of the total moment in μB/atom: 0.50
Symmetry: P-1